Record 1
# MnBe2NiW PBEsol optimized geometry
data_MnBe2NiW
_chemical_formula_sum 'Mn1 Be2 Ni1 W1'
_space_group_name_H-M_alt 'P 4/m m m'
_space_group_IT_number 123
_space_group_name_Hall '-P 4 2'
_cell_length_a 3.773
_cell_length_b 3.773
_cell_length_c 4.265
_cell_angle_alpha 90.00
_cell_angle_beta 90.00
_cell_angle_gamma 90.00
loop_
_atom_site_label
_atom_site_fract_x
_atom_site_fract_y
_atom_site_fract_z
_atom_site_occupancy
Mn1 0.000 0.000 0.000 1
Be1 0.000 0.500 0.500 1
Ni1 0.000 0.000 0.500 1
W1 0.500 0.500 0.000 1
# - DFT formation energy: 0.8834 eV per atom
# - Crystal system: tetragonal
# - Energy: -6.662 eV/atom
# - Fermi-level density of states: 4.16 states/eV/f.u.

---

Record 2
# Mn2Be2Os PBEsol optimized geometry
data_Mn2Be2Os
_chemical_formula_sum 'Mn4 Be4 Os2'
_space_group_name_H-M_alt 'P 4/m b m'
_space_group_IT_number 127
_space_group_name_Hall '-P 4 2ab'
_cell_length_a 6.059
_cell_length_b 6.059
_cell_length_c 2.737
_cell_angle_alpha 90.00
_cell_angle_beta 90.00
_cell_angle_gamma 90.00
loop_
_atom_site_label
_atom_site_fract_x
_atom_site_fract_y
_atom_site_fract_z
_atom_site_occupancy
Mn1 0.171 0.329 0.000 1
Be1 0.123 0.623 0.500 1
Os1 0.000 0.000 0.500 1
# - DFT formation energy: -0.0834 eV per atom
# - Crystal system: tetragonal
# - Energy: -8.031 eV/atom
# - Fermi-level density of states: 3.69 states/eV/f.u.

---

Record 3
# MnBeOs2 PBEsol optimized geometry
data_MnBeOs2
_chemical_formula_sum 'Mn1 Be1 Os2'
_space_group_name_H-M_alt 'P 4/m m m'
_space_group_IT_number 123
_space_group_name_Hall '-P 4 2'
_cell_length_a 2.803
_cell_length_b 2.803
_cell_length_c 5.894
_cell_angle_alpha 90.00
_cell_angle_beta 90.00
_cell_angle_gamma 90.00
loop_
_atom_site_label
_atom_site_fract_x
_atom_site_fract_y
_atom_site_fract_z
_atom_site_occupancy
Mn1 0.000 0.000 0.000 1
Be1 0.000 0.000 0.500 1
Os1 0.500 0.500 0.266 1
# - DFT formation energy: -0.0464 eV per atom
# - Crystal system: tetragonal
# - Energy: -9.595 eV/atom
# - Fermi-level density of states: 2.67 states/eV/f.u.

---

Record 4
# MnBeOs2 PBEsol optimized geometry
data_MnBeOs2
_chemical_formula_sum 'Mn1 Be1 Os2'
_space_group_name_H-M_alt 'P m m 2'
_space_group_IT_number 25
_cell_length_a 2.666
_cell_length_b 3.712
_cell_length_c 4.874
_cell_angle_alpha 90.00
_cell_angle_beta 90.00
_cell_angle_gamma 90.00
loop_
_space_group_symop_operation_xyz
'x,y,z'
'-x,-y,z'
'-x,y,z'
'x,-y,z'
loop_
_atom_site_label
_atom_site_fract_x
_atom_site_fract_y
_atom_site_fract_z
_atom_site_occupancy
Mn1 0.000 0.000 0.000 1
Be1 0.500 0.500 0.773 1
Os1 0.000 0.000 0.537 1
Os2 0.500 0.500 0.261 1
# - DFT formation energy: 0.0862 eV per atom
# - Crystal system: orthorhombic
# - Energy: -9.462 eV/atom
# - Fermi-level density of states: 3.19 states/eV/f.u.

---

Record 5
# MnBeOs PBEsol optimized geometry
data_MnBeOs
_chemical_formula_sum 'Mn2 Be2 Os2'
_space_group_name_H-M_alt 'I 4 m m'
_space_group_IT_number 107
_space_group_name_Hall 'I 4 -2'
_cell_length_a 2.750
_cell_length_b 2.750
_cell_length_c 8.452
_cell_angle_alpha 90.00
_cell_angle_beta 90.00
_cell_angle_gamma 90.00
loop_
_atom_site_label
_atom_site_fract_x
_atom_site_fract_y
_atom_site_fract_z
_atom_site_occupancy
Mn1 0.000 0.000 0.000 1
Be1 0.000 0.000 0.350 1
Os1 0.000 0.000 0.678 1
# - DFT formation energy: -0.1624 eV per atom
# - Crystal system: tetragonal
# - Energy: -8.821 eV/atom
# - Energy above the most stable polymorph in this dataset: 0.00 eV per formula unit
# - Fermi-level density of states: 1.48 states/eV/f.u.

---

Record 6
# Mn2BeOs PBEsol optimized geometry
data_Mn2BeOs
_chemical_formula_sum 'Mn2 Be1 Os1'
_space_group_name_H-M_alt 'P 4 m m'
_space_group_IT_number 99
_cell_length_a 2.745
_cell_length_b 2.745
_cell_length_c 5.581
_cell_angle_alpha 90.00
_cell_angle_beta 90.00
_cell_angle_gamma 90.00
loop_
_space_group_symop_operation_xyz
'x,y,z'
'-y,x,z'
'-x,-y,z'
'y,-x,z'
'-x,y,z'
'y,x,z'
'x,-y,z'
'-y,-x,z'
loop_
_atom_site_label
_atom_site_fract_x
_atom_site_fract_y
_atom_site_fract_z
_atom_site_occupancy
Mn1 0.000 0.000 0.000 1
Mn2 0.500 0.500 0.227 1
Be1 0.500 0.500 0.778 1
Os1 0.000 0.000 0.528 1
# - DFT formation energy: -0.0299 eV per atom
# - Crystal system: tetragonal
# - Energy: -8.964 eV/atom
# - Fermi-level density of states: 3.37 states/eV/f.u.

---

Record 7
# Mn2BeOs PBEsol optimized geometry
data_Mn2BeOs
_chemical_formula_sum 'Mn4 Be2 Os2'
_space_group_name_H-M_alt 'I m m m'
_space_group_IT_number 71
_space_group_name_Hall '-I 2 2'
_cell_length_a 2.793
_cell_length_b 3.777
_cell_length_c 8.005
_cell_angle_alpha 90.00
_cell_angle_beta 90.00
_cell_angle_gamma 90.00
loop_
_atom_site_label
_atom_site_fract_x
_atom_site_fract_y
_atom_site_fract_z
_atom_site_occupancy
Mn1 0.000 0.000 0.241 1
Be1 0.000 0.500 0.500 1
Os1 0.000 0.500 0.000 1
# - DFT formation energy: -0.0710 eV per atom
# - Crystal system: orthorhombic
# - Energy: -9.006 eV/atom
# - Fermi-level density of states: 3.29 states/eV/f.u.

---

Record 8
# MnBeOs PBEsol optimized geometry
data_MnBeOs
_chemical_formula_sum 'Mn1 Be1 Os1'
_space_group_name_H-M_alt 'P 3 m 1'
_space_group_IT_number 156
_cell_length_a 2.6098
_cell_length_b 2.6098
_cell_length_c 5.8396
_cell_angle_alpha 90.00
_cell_angle_beta 90.00
_cell_angle_gamma 120.00
loop_
_space_group_symop_operation_xyz
'x,y,z'
'-y,x-y,z'
'-x+y,-x,z'
'-y,-x,z'
'-x+y,y,z'
'x,x-y,z'
loop_
_atom_site_label
_atom_site_fract_x
_atom_site_fract_y
_atom_site_fract_z
_atom_site_occupancy
Mn1 0.0000 0.0000 0.0000 1
Be1 0.6667 0.3333 0.3190 1
Os1 0.3333 0.6667 0.6616 1
# - DFT formation energy: 0.1608 eV per atom
# - Crystal system: trigonal
# - Energy: -8.498 eV/atom
# - Energy above the most stable polymorph in this dataset: 0.97 eV per formula unit
# - Fermi-level density of states: 2.77 states/eV/f.u.

---

Record 9
# Mn2BeOs PBEsol optimized geometry
data_Mn2BeOs
_chemical_formula_sum 'Mn8 Be4 Os4'
_space_group_name_H-M_alt 'F -4 3 m'
_space_group_IT_number 216
_space_group_name_Hall 'F -4 2 3'
_cell_length_a 5.597
_cell_length_b 5.597
_cell_length_c 5.597
_cell_angle_alpha 90.00
_cell_angle_beta 90.00
_cell_angle_gamma 90.00
loop_
_atom_site_label
_atom_site_fract_x
_atom_site_fract_y
_atom_site_fract_z
_atom_site_occupancy
Mn1 0.000 0.000 0.000 1
Mn2 0.250 0.250 0.250 1
Be1 0.250 0.250 0.750 1
Os1 0.000 0.000 0.500 1
# - DFT formation energy: 0.0481 eV per atom
# - Crystal system: cubic
# - Energy: -8.886 eV/atom
# - Fermi-level density of states: 5.51 states/eV/f.u.

---

Record 10
# Mn2BeOs PBEsol optimized geometry
data_Mn2BeOs
_chemical_formula_sum 'Mn4 Be2 Os2'
_space_group_name_H-M_alt 'I 4/m m m'
_space_group_IT_number 139
_space_group_name_Hall '-I 4 2'
_cell_length_a 3.287
_cell_length_b 3.287
_cell_length_c 7.922
_cell_angle_alpha 90.00
_cell_angle_beta 90.00
_cell_angle_gamma 90.00
loop_
_atom_site_label
_atom_site_fract_x
_atom_site_fract_y
_atom_site_fract_z
_atom_site_occupancy
Mn1 0.000 0.500 0.250 1
Be1 0.000 0.000 0.000 1
Os1 0.000 0.000 0.500 1
# - DFT formation energy: 0.0503 eV per atom
# - Crystal system: tetragonal
# - Energy: -8.884 eV/atom
# - Fermi-level density of states: 4.08 states/eV/f.u.

---

Record 11
# ScMnBe2Os PBEsol optimized geometry
data_ScMnBe2Os
_chemical_formula_sum 'Sc1 Mn1 Be2 Os1'
_space_group_name_H-M_alt 'P 4/m m m'
_space_group_IT_number 123
_space_group_name_Hall '-P 4 2'
_cell_length_a 4.228
_cell_length_b 4.228
_cell_length_c 4.496
_cell_angle_alpha 90.00
_cell_angle_beta 90.00
_cell_angle_gamma 90.00
loop_
_atom_site_label
_atom_site_fract_x
_atom_site_fract_y
_atom_site_fract_z
_atom_site_occupancy
Sc1 0.000 0.000 0.000 1
Mn1 0.500 0.500 0.000 1
Be1 0.000 0.500 0.500 1
Os1 0.500 0.500 0.500 1
# - DFT formation energy: 0.5257 eV per atom
# - Crystal system: tetragonal
# - Energy: -6.791 eV/atom
# - Fermi-level density of states: 4.99 states/eV/f.u.

---

Record 12
# MnBe2P PBEsol optimized geometry
data_MnBe2P
_chemical_formula_sum 'Mn2 Be4 P2'
_space_group_name_H-M_alt 'C 1 2/m 1'
_space_group_IT_number 12
_cell_length_a 4.382
_cell_length_b 7.586
_cell_length_c 2.486
_cell_angle_alpha 90.00
_cell_angle_beta 109.70
_cell_angle_gamma 90.00
loop_
_space_group_symop_operation_xyz
'x,y,z'
'-x,-y,-z'
'-x,y,-z'
'x,-y,z'
'x+1/2,y+1/2,z'
'-x+1/2,-y+1/2,-z'
'-x+1/2,y+1/2,-z'
'x+1/2,-y+1/2,z'
loop_
_atom_site_label
_atom_site_fract_x
_atom_site_fract_y
_atom_site_fract_z
_atom_site_occupancy
Mn1 0.000 0.000 0.000 1
Be1 0.250 0.250 0.500 1
P1 0.000 0.500 0.000 1
# - DFT formation energy: 0.0407 eV per atom
# - Crystal system: monoclinic
# - Energy: -5.847 eV/atom
# - Fermi-level density of states: 1.77 states/eV/f.u.